[1]
DFT (PBE) results for crystalline Sm5HoTl2 at its relaxed geometry.

extended XYZ file:
```
16
Lattice="5.503 0.000 0.000 -2.751 4.765 0.000 0.000 0.000 20.312" Properties=species:S:1:pos:R:3 pbc="T T T"
Sm 0.000 0.000 6.854
Sm 0.000 0.000 3.302
Sm 2.751 1.588 5.078
Sm 0.000 0.000 17.010
Sm 2.751 1.588 1.238
Sm 0.000 3.177 15.234
Sm 0.000 3.177 19.074
Sm 0.000 3.177 11.395
Sm 2.751 1.588 8.918
Sm 0.000 0.000 13.458
Ho 0.000 3.177 5.078
Ho 2.751 1.588 15.234
Tl 2.751 1.588 12.121
Tl 0.000 3.177 1.965
Tl 0.000 3.177 8.191
Tl 2.751 1.588 18.347
```

Calculated density ... 8.26 g/cm3
Raw total energy ... -4.17 eV per atom

[2]
DFT (PBE) results for crystalline Sm2Ho2Tl3 at its relaxed geometry.

extended XYZ file:
```
7
Lattice="-2.152 2.263 -2.161 -5.542 0.904 6.478 2.501 6.020 0.481" Properties=species:S:1:pos:R:3 pbc="T T T"
Sm -4.706 5.924 4.223
Sm -0.488 3.264 0.575
Ho -0.614 6.768 1.031
Ho -4.580 2.420 3.766
Tl 0.000 0.000 0.000
Tl -3.623 4.111 1.245
Tl -1.571 5.077 3.553
```

Calculated density ... 10.19 g/cm3
Raw total energy ... -3.91 eV per atom

[3]
DFT (PBE) results for crystalline Sm6HoTl4 at its relaxed geometry.

extended XYZ file:
```
11
Lattice="-3.248 4.242 7.995 -1.378 -7.930 -5.262 7.241 -5.562 -3.017" Properties=species:S:1:pos:R:3 pbc="T T T"
Sm 1.943 -9.726 -6.156
Sm 6.022 -8.605 -5.093
Sm -1.218 1.101 3.516
Sm 1.996 -0.660 2.489
Sm 1.730 -5.511 -0.830
Sm -2.313 -1.844 1.367
Ho 0.000 0.000 0.000
Tl 4.363 -4.326 -2.451
Tl 0.633 -3.025 0.760
Tl -0.074 -5.545 -3.607
Tl 3.555 -9.845 -3.266
```

Calculated density ... 8.73 g/cm3
Raw total energy ... -4.01 eV per atom

[4]
DFT (PBE) results for crystalline Sm2HoTl at its relaxed geometry.

extended XYZ file:
```
4
Lattice="-3.196 1.115 -1.136 -2.584 0.712 2.358 1.876 12.195 1.075" Properties=species:S:1:pos:R:3 pbc="T T T"
Tl 0.000 0.000 0.000
Ho -1.952 7.011 1.149
Sm 0.860 9.100 0.897
Sm -4.764 4.922 1.401
```

Calculated density ... 8.25 g/cm3
Raw total energy ... -4.02 eV per atom

[5]
DFT (PBE) results for crystalline Sm4HoTl4 at its relaxed geometry.

extended XYZ file:
```
18
Lattice="-2.122 -5.328 -2.250 3.432 -4.507 7.436 -8.078 1.308 4.520" Properties=species:S:1:pos:R:3 pbc="T T T"
Sm -6.057 -2.807 6.089
Sm -7.032 -6.442 7.182
Sm -0.166 -4.353 4.195
Sm -5.404 -0.149 3.284
Sm -3.119 -6.350 7.378
Sm 0.214 -4.418 8.095
Sm -1.313 -6.047 0.852
Sm -4.193 -3.546 1.751
Ho 0.000 0.000 0.000
Ho -3.384 -4.264 4.853
Tl 0.113 -7.088 6.228
Tl -7.387 -2.713 2.941
Tl -2.678 -3.032 7.691
Tl -6.196 -5.572 4.183
Tl -2.187 -7.011 3.811
Tl -0.909 -2.824 1.125
Tl -5.351 -4.431 9.119
Tl -2.474 -1.440 3.728
```

Calculated density ... 9.77 g/cm3
Raw total energy ... -3.84 eV per atom

[6]
DFT (PBE) results for crystalline Sm5HoTl6 at its relaxed geometry.

extended XYZ file:
```
12
Lattice="-5.188 0.192 -1.648 -5.308 -7.466 -2.229 -5.144 -4.284 6.658" Properties=species:S:1:pos:R:3 pbc="T T T"
Sm -6.895 -4.001 3.203
Sm -3.480 -3.916 1.463
Sm -5.248 -3.637 -1.939
Sm -6.972 -7.834 2.966
Sm -8.745 -7.557 -0.423
Ho 0.000 0.000 0.000
Tl -6.036 -1.877 0.767
Tl -6.099 -5.760 0.472
Tl -2.624 -1.768 -0.966
Tl -7.872 -5.506 -2.912
Tl -9.541 -5.798 2.309
Tl -9.604 -9.681 2.014
```

Calculated density ... 10.40 g/cm3
Raw total energy ... -3.90 eV per atom

> Among the records above, which one has the lowest calculated density?

Sm2HoTl